Material: PtPb2
Method: DFT, PBE
State: optimized geometry

Results
- energy of formation from the pure elements (kcal/mol of atoms) = -3.5
- density of states at the Fermi level (states/eV per atom) = 0.37
- calculated volume (Å³/atom) = 27.053
- final energy (eV per cell) = -13.91

a = 3.928 Å, b = 3.928 Å, c = 6.073 Å
α = 90.01°, β = 90.00°, γ = 120.00°
Atoms (fractional coordinates):
1 Pb 0.667 0.333 0.275
2 Pb 0.333 0.667 0.725
3 Pt 0.000 0.000 0.000